# 1
This record from Alexandria via LeMat-Bulk describes an optimized crystal structure of Pr2LuNi. The functional is PBE-GGA.

Cell: 3.6143 3.6143 8.4485 Å, 90.00 90.00 90.00°
Last column: nearest neighbours and their distance in Å.
Positions (direct):
Pr: 0.0000 0.0000 0.1981  4 Ni 3.05, 1 Pr 3.35
Pr: 0.0000 0.0000 0.8019  4 Ni 3.05, 1 Pr 3.35
Lu: 0.5000 0.5000 0.5000  8 Pr 3.61, 4 Lu 3.61
Ni: 0.5000 0.5000 0.0000  8 Pr 3.05

Results
The final energy is -20.00 eV per cell. Its total magnetization is 0.00 Bohr magnetons per cell.

# 2
This record from Alexandria via LeMat-Bulk describes an optimized crystal structure of Lu2NiPt. The functional is PBE-GGA.

Cell: 4.7695 4.7695 3.3708 Å, 90.00 90.00 90.00°
Last column: nearest neighbours and their distance in Å.
Positions (direct):
Lu: 0.0000 0.5000 0.0000  4 Ni 2.92, 4 Pt 2.92
Lu: 0.5000 0.0000 0.0000  4 Ni 2.92, 4 Pt 2.92
Ni: 0.0000 0.0000 0.5000  8 Lu 2.92
Pt: 0.5000 0.5000 0.5000  8 Lu 2.92

Results
The final energy is -24.47 eV per cell. Its total magnetization is 0.00 Bohr magnetons per cell.

# 3
This record from Alexandria via LeMat-Bulk describes an optimized crystal structure of LuNiPt. The functional is PBE-GGA.

Cell: 5.0197 5.0197 5.0197 Å, 140.29 140.29 57.41°
Last column: nearest neighbours and their distance in Å.
Positions (direct):
Lu: 0.0000 0.0000 0.0000  5 Ni 2.85-2.88, 5 Pt 2.85-2.87
Ni: 0.6727 0.6727 0.0000  5 Pt 2.77-3.05, 5 Lu 2.85-2.88
Pt: 0.3265 0.3265 0.0000  5 Ni 2.77-3.05, 5 Lu 2.85-2.87

Results
The final energy is -18.29 eV per cell. Its total magnetization is 0.00 Bohr magnetons per cell.

# 4
This record from Alexandria via LeMat-Bulk describes an optimized crystal structure of LuNiPt. The functional is PBE-GGA.

Cell: 4.2004 4.2004 3.5777 Å, 90.00 90.00 120.00°
Last column: nearest neighbours and their distance in Å.
Positions (direct):
Lu: 0.0000 0.0000 0.0000  6 Ni 3.01, 6 Pt 3.01
Ni: 0.3333 0.6667 0.5000  3 Pt 2.43
Pt: 0.6667 0.3333 0.5000  3 Ni 2.43

Results
The final energy is -18.75 eV per cell. Its total magnetization is 0.40 Bohr magnetons per cell.

# 5
This record from Alexandria via LeMat-Bulk describes an optimized crystal structure of LuNiPtRh. The functional is PBE-GGA.

Cell: 4.4875 4.4875 4.4875 Å, 60.00 60.00 60.00°
Last column: nearest neighbours and their distance in Å.
Positions (direct):
Lu: 0.0000 0.0000 0.0000  4 Rh 2.75, 4 Ni 2.75
Ni: 0.2500 0.2500 0.2500  4 Pt 2.75, 4 Lu 2.75
Pt: 0.5000 0.5000 0.5000  4 Ni 2.75, 4 Rh 2.75
Rh: 0.7500 0.7500 0.7500  4 Lu 2.75, 4 Pt 2.75

Results
The final energy is -25.73 eV per cell. Its total magnetization is 0.00 Bohr magnetons per cell.

# 6
This record from Alexandria via LeMat-Bulk describes an optimized crystal structure of LuNiSnPt. The functional is PBE-GGA.

Cell: 4.6650 4.6650 4.6650 Å, 60.00 60.00 60.00°
Last column: nearest neighbours and their distance in Å.
Positions (direct):
Lu: 0.0000 0.0000 0.0000  4 Ni 2.86, 4 Pt 2.86
Ni: 0.2500 0.2500 0.2500  4 Sn 2.86, 4 Lu 2.86
Sn: 0.5000 0.5000 0.5000  4 Ni 2.86, 4 Pt 2.86
Pt: 0.7500 0.7500 0.7500  4 Sn 2.86, 4 Lu 2.86

Results
The final energy is -23.25 eV per cell. Its total magnetization is 0.00 Bohr magnetons per cell.

# 7
This record from Alexandria via LeMat-Bulk describes an optimized crystal structure of TbLuNiPt. The functional is PBE-GGA.

Cell: 4.8361 4.8361 4.8361 Å, 60.00 60.00 60.00°
Last column: nearest neighbours and their distance in Å.
Positions (direct):
Tb: 0.0000 0.0000 0.0000  4 Ni 2.96, 4 Pt 2.96
Lu: 0.5000 0.5000 0.5000  4 Ni 2.96, 4 Pt 2.96
Ni: 0.7500 0.7500 0.7500  4 Tb 2.96, 4 Lu 2.96
Pt: 0.2500 0.2500 0.2500  4 Lu 2.96, 4 Tb 2.96

Results
The final energy is -24.34 eV per cell. Its total magnetization is 0.00 Bohr magnetons per cell.

# 8
This record from Alexandria via LeMat-Bulk describes an optimized crystal structure of LuThNiPt. The functional is PBE-GGA.

Cell: 4.9412 4.9412 4.9412 Å, 60.00 60.00 60.00°
Last column: nearest neighbours and their distance in Å.
Positions (direct):
Lu: 0.0000 0.0000 0.0000  4 Ni 3.03, 4 Pt 3.03
Th: 0.5000 0.5000 0.5000  4 Ni 3.03, 4 Pt 3.03
Ni: 0.7500 0.7500 0.7500  4 Th 3.03, 4 Lu 3.03
Pt: 0.2500 0.2500 0.2500  4 Th 3.03, 4 Lu 3.03

Results
The final energy is -26.81 eV per cell. Its total magnetization is 0.00 Bohr magnetons per cell.

# 9
This record from Alexandria via LeMat-Bulk describes an optimized crystal structure of LuTiNiPt. The functional is PBE-GGA.

Cell: 4.5819 4.5819 4.5819 Å, 60.00 60.00 60.00°
Last column: nearest neighbours and their distance in Å.
Positions (direct):
Lu: 0.0000 0.0000 0.0000  4 Ni 2.81, 4 Pt 2.81
Ti: 0.5000 0.5000 0.5000  4 Pt 2.81, 4 Ni 2.81
Ni: 0.7500 0.7500 0.7500  4 Ti 2.81, 4 Lu 2.81
Pt: 0.2500 0.2500 0.2500  4 Ti 2.81, 4 Lu 2.81

Results
The final energy is -26.91 eV per cell. Its total magnetization is 0.00 Bohr magnetons per cell.

# 10
This record from Alexandria via LeMat-Bulk describes an optimized crystal structure of TmLuNiPt. The functional is PBE-GGA.

Cell: 4.7873 4.7873 4.7873 Å, 60.00 60.00 60.00°
Last column: nearest neighbours and their distance in Å.
Positions (direct):
Tm: 0.0000 0.0000 0.0000  4 Ni 2.93, 4 Pt 2.93
Lu: 0.5000 0.5000 0.5000  4 Ni 2.93, 4 Pt 2.93
Ni: 0.2500 0.2500 0.2500  4 Tm 2.93, 4 Lu 2.93
Pt: 0.7500 0.7500 0.7500  4 Tm 2.93, 4 Lu 2.93

Results
The final energy is -24.39 eV per cell. Its total magnetization is 0.00 Bohr magnetons per cell.

# 11
This record from Alexandria via LeMat-Bulk describes an optimized crystal structure of LuZnNiPt. The functional is PBE-GGA.

Cell: 4.5216 4.5216 4.5216 Å, 60.00 60.00 60.00°
Last column: nearest neighbours and their distance in Å.
Positions (direct):
Lu: 0.0000 0.0000 0.0000  4 Pt 2.77, 4 Ni 2.77
Zn: 0.5000 0.5000 0.5000  4 Pt 2.77, 4 Ni 2.77
Ni: 0.2500 0.2500 0.2500  4 Zn 2.77, 4 Lu 2.77
Pt: 0.7500 0.7500 0.7500  4 Zn 2.77, 4 Lu 2.77

Results
The final energy is -20.28 eV per cell. Its total magnetization is 0.00 Bohr magnetons per cell.

# 12
This record from Alexandria via LeMat-Bulk describes an optimized crystal structure of LuPuNi. The functional is PBE-GGA.

Cell: 6.4336 6.4336 6.4336 Å, 150.10 150.10 42.80°
Last column: nearest neighbours and their distance in Å.
Positions (direct):
Lu: 0.0000 0.0000 0.0000  4 Ni 2.78
Pu: 0.7269 0.7269 0.0000  4 Ni 2.94, 1 Lu 3.27
Ni: 0.3752 0.3752 0.0000  4 Lu 2.78, 4 Pu 2.94

Results
The final energy is -24.99 eV per cell. Its total magnetization is 6.03 Bohr magnetons per cell.

# 13
This record from Alexandria via LeMat-Bulk describes an optimized crystal structure of Lu2PuNi. The functional is PBE-GGA.

Cell: 9.4231 9.4231 9.4231 Å, 21.74 21.74 21.74°
Last column: nearest neighbours and their distance in Å.
Positions (direct):
Lu: 0.2282 0.2282 0.2282  3 Ni 2.66
Lu: 0.7718 0.7718 0.7718  3 Ni 2.66
Pu: 0.0000 0.0000 0.0000  6 Lu 3.55, 6 Pu 3.55
Ni: 0.5000 0.5000 0.5000  6 Lu 2.66

Results
The calculation puts the relative energy among the computed polymorphs at 157 meV per atom. The final energy is -29.21 eV per cell. Its total magnetization is 6.79 Bohr magnetons per cell.

# 14
This record from Alexandria via LeMat-Bulk describes an optimized crystal structure of Lu2PuNi. The functional is PBE-GGA.

Cell: 3.3234 3.3234 8.4460 Å, 90.00 90.00 90.00°
Last column: nearest neighbours and their distance in Å.
Positions (direct):
Lu: 0.0000 0.0000 0.1891  4 Ni 2.84
Lu: 0.0000 0.0000 0.8109  4 Ni 2.84
Pu: 0.5000 0.5000 0.5000  4 Pu 3.32, 8 Lu 3.52
Ni: 0.5000 0.5000 0.0000  8 Lu 2.84

Results
The calculation puts the relative energy among the computed polymorphs at 0 meV per atom. The final energy is -29.84 eV per cell. Its total magnetization is 6.52 Bohr magnetons per cell.

# 15
This record from Alexandria via LeMat-Bulk describes an optimized crystal structure of LuPuNi4. The functional is PBE-GGA.

Cell: 5.0298 5.0298 5.0298 Å, 60.00 60.00 60.00°
Last column: nearest neighbours and their distance in Å.
Positions (direct):
Lu: 0.0000 0.0000 0.0000  12 Ni 2.95, 4 Pu 3.08
Pu: 0.2500 0.2500 0.2500  12 Ni 2.95, 4 Lu 3.08
Ni: 0.1252 0.6249 0.6249  6 Ni 2.51-2.52
Ni: 0.6249 0.1252 0.6249  6 Ni 2.51-2.52
Ni: 0.6249 0.6249 0.1252  6 Ni 2.51-2.52
Ni: 0.6249 0.6249 0.6249  6 Ni 2.51-2.52

Results
The final energy is -44.15 eV per cell. Its total magnetization is 5.18 Bohr magnetons per cell.

# 16
This record from Alexandria via LeMat-Bulk describes an optimized crystal structure of LuPuNiRh. The functional is PBE-GGA.

Cell: 4.7701 4.7701 4.7701 Å, 60.00 60.00 60.00°
Last column: nearest neighbours and their distance in Å.
Positions (direct):
Lu: 0.0000 0.0000 0.0000  4 Ni 2.92, 4 Rh 2.92
Pu: 0.5000 0.5000 0.5000  4 Ni 2.92, 4 Rh 2.92
Ni: 0.7500 0.7500 0.7500  4 Pu 2.92, 4 Lu 2.92
Rh: 0.2500 0.2500 0.2500  4 Pu 2.92, 4 Lu 2.92

Results
The final energy is -33.75 eV per cell. Its total magnetization is 5.35 Bohr magnetons per cell.

# 17
This record from Alexandria via LeMat-Bulk describes an optimized crystal structure of LuPuTcNi. The functional is PBE-GGA.

Cell: 4.7233 4.7233 4.7233 Å, 60.00 60.00 60.00°
Last column: nearest neighbours and their distance in Å.
Positions (direct):
Lu: 0.0000 0.0000 0.0000  4 Tc 2.89, 4 Ni 2.89
Pu: 0.5000 0.5000 0.5000  4 Tc 2.89, 4 Ni 2.89
Tc: 0.2500 0.2500 0.2500  4 Pu 2.89, 4 Lu 2.89
Ni: 0.7500 0.7500 0.7500  4 Pu 2.89, 4 Lu 2.89

Results
The final energy is -35.45 eV per cell. Its total magnetization is 4.01 Bohr magnetons per cell.

# 18
This record from Alexandria via LeMat-Bulk describes an optimized crystal structure of LuNi2Rh. The functional is PBE-GGA.

Cell: 4.3661 4.3661 4.3661 Å, 60.00 60.00 60.00°
Last column: nearest neighbours and their distance in Å.
Positions (direct):
Lu: 0.0000 0.0000 0.0000  8 Ni 2.67
Ni: 0.2500 0.2500 0.2500  4 Rh 2.67, 4 Lu 2.67
Ni: 0.7500 0.7500 0.7500  4 Rh 2.67, 4 Lu 2.67
Rh: 0.5000 0.5000 0.5000  8 Ni 2.67

Results
The final energy is -24.74 eV per cell. Its total magnetization is 0.00 Bohr magnetons per cell.

# 19
This record from Alexandria via LeMat-Bulk describes an optimized crystal structure of LuNi4Rh. The functional is PBE-GGA.

Cell: 4.8370 4.8370 4.8370 Å, 60.00 60.00 60.00°
Last column: nearest neighbours and their distance in Å.
Positions (direct):
Lu: 0.0000 0.0000 0.0000  12 Ni 2.84, 4 Rh 2.96
Ni: 0.3757 0.3757 0.3757  6 Ni 2.40-2.43
Ni: 0.3757 0.3757 0.8728  6 Ni 2.40-2.43
Ni: 0.3757 0.8728 0.3757  6 Ni 2.40-2.43
Ni: 0.8728 0.3757 0.3757  6 Ni 2.40-2.43
Rh: 0.7500 0.7500 0.7500  12 Ni 2.83, 4 Lu 2.96

Results
The final energy is -36.92 eV per cell. Its total magnetization is 1.67 Bohr magnetons per cell.

# 20
This record from Alexandria via LeMat-Bulk describes an optimized crystal structure of LuNiRh2. The functional is PBE-GGA.

Cell: 4.4524 4.4524 4.4524 Å, 60.00 60.00 60.00°
Last column: nearest neighbours and their distance in Å.
Positions (direct):
Lu: 0.0000 0.0000 0.0000  8 Rh 2.73
Ni: 0.5000 0.5000 0.5000  8 Rh 2.73
Rh: 0.2500 0.2500 0.2500  4 Ni 2.73, 4 Lu 2.73
Rh: 0.7500 0.7500 0.7500  4 Ni 2.73, 4 Lu 2.73

Results
The final energy is -26.61 eV per cell. Its total magnetization is 0.96 Bohr magnetons per cell.

It is found that the V values, taken in the order of the records, are 110 77 51 55 64 72 80 85 68 78 65 66 101 93 90 77 75 59 80 62 Å³/cell.
It is found that the E_form values, taken in the order of the records, are -0.03 -0.90 -0.65 -0.80 -0.51 -0.72 -0.84 -0.76 -0.67 -0.89 -0.67 -0.12 -0.01 -0.17 -0.36 -0.44 -0.11 -0.33 -0.32 -0.40 eV per atom.